No. 1
Below is a geometry-optimized RbInGa2Sn2 structure, with properties calculated at the PBE level.

Cell and atoms, written as extended XYZ:
```
6
Lattice="4.625 0.000 0.000 -2.313 4.005 0.000 0.000 0.000 10.350" Properties=species:S:1:pos:R:3 pbc="T T T"
Rb 0.000 0.000 0.000
In 0.000 0.000 5.175
Ga 0.000 2.670 7.688
Ga 2.313 1.335 2.662
Sn 0.000 2.670 3.118
Sn 2.313 1.335 7.232
```

Results
Fermi-level density of states	1.691	states/eV per cell
calculated formation energy	-23	meV per atom

---

No. 2
Below is a geometry-optimized Tl2In5Bi2 structure, with properties calculated at the PBE level.

Cell and atoms, written as extended XYZ:
```
9
Lattice="5.825 0.000 0.000 -0.852 6.578 0.000 -1.044 -1.449 7.154" Properties=species:S:1:pos:R:3 pbc="T T T"
Tl 0.257 1.240 3.120
Tl 3.671 3.889 4.033
In 0.000 0.000 0.000
In 0.065 1.407 6.544
In 0.792 4.428 5.679
In 3.136 0.702 1.474
In 3.863 3.722 0.609
Bi 0.770 4.523 2.299
Bi 3.158 0.607 4.855
```

Results
Fermi-level density of states	4.435	states/eV per cell
calculated formation energy	39	meV per atom

---

No. 3
Below is a geometry-optimized Ag2HgW structure, with properties calculated at the PBE level.

Cell and atoms, written as extended XYZ:
```
4
Lattice="2.835 0.000 0.000 0.000 5.072 0.000 0.000 0.000 5.096" Properties=species:S:1:pos:R:3 pbc="T T T"
Ag 0.000 0.000 0.000
Ag 1.417 2.536 0.000
Hg 0.000 2.536 2.548
W 1.417 0.000 2.548
```

Results
Fermi-level density of states	2.461	states/eV per cell
calculated formation energy	676	meV per atom

---

No. 4
Below is a geometry-optimized CdIn2Ge structure, with properties calculated at the PBE level.

Cell and atoms, written as extended XYZ:
```
8
Lattice="-4.336 4.336 2.806 4.336 -4.336 2.806 4.336 4.336 -2.806" Properties=species:S:1:pos:R:3 pbc="T T T"
Cd 0.000 0.000 0.000
Cd 0.000 4.336 1.403
In 2.168 -1.649 2.105
In 2.687 2.168 0.702
In 2.168 5.985 -0.702
In 1.649 2.168 3.508
Ge 4.336 0.000 1.403
Ge 0.000 0.000 2.806
```

Results
Fermi-level density of states	4.936	states/eV per cell
calculated formation energy	137	meV per atom